# 1
{
  "formula": "CuP2Pb",
  "functional": "PBE-GGA",
  "state": "optimized geometry",
  "cell": [[5.537, 0.018, 0.000], [1.793, 5.239, 0.000], [-2.735, -3.926, 2.788]],
  "species": ["Cu", "P", "P", "Pb"],
  "frac_coords": [[0.198, 0.698, 0.500], [0.998, 0.998, 0.000], [0.825, 0.325, 0.500], [0.479, 0.479, 0.000]],
  "sg": "No. 44",
  "m_tot_mub_per_cell": 0.000,
  "ef_ev_per_atom": 0.348,
  "vol_a3_per_atom": 20.197,
  "e_tot_ev_per_cell": -17.23,
  "dos_ef_per_ev_atom": 0.432
}

# 2
{
  "formula": "La2InSi",
  "functional": "PBE-GGA",
  "state": "optimized geometry",
  "cell": [[-3.061, 1.670, 2.480], [-3.161, -0.842, -3.335], [-2.602, -5.722, 0.642]],
  "species": ["Si", "In", "La", "La"],
  "frac_coords": [[0.000, 0.703, 0.468], [0.500, 0.555, 0.766], [0.000, 0.979, 0.918], [0.500, 0.264, 0.348]],
  "sg": "No. 38",
  "raw_formation_energy_mev_per_atom": -577,
  "m_tot_mub_per_cell": 0.527,
  "vol_a3_per_atom": 29.336,
  "e_tot_ev_per_cell": -20.32,
  "dos_ef_per_ev_atom": 0.862
}

# 3
{
  "formula": "Ac2AgSbS5",
  "functional": "PBE-GGA",
  "state": "optimized geometry",
  "cell": [[4.249, 0.000, 0.000], [-2.124, 8.917, 0.000], [0.000, 0.000, 11.856]],
  "species": ["Ac", "Ac", "Ac", "Ac", "Ag", "Ag", "Sb", "Sb", "S", "S", "S", "S", "S", "S", "S", "S", "S", "S"],
  "frac_coords": [[0.888, 0.776, 0.807], [0.134, 0.268, 0.686], [0.112, 0.224, 0.307], [0.866, 0.732, 0.186], [0.773, 0.545, 0.467], [0.227, 0.455, 0.967], [0.588, 0.176, 0.992], [0.412, 0.824, 0.492], [0.366, 0.732, 0.003], [0.711, 0.422, 0.839], [0.518, 0.037, 0.789], [0.311, 0.622, 0.665], [0.977, 0.954, 0.576], [0.634, 0.268, 0.503], [0.289, 0.578, 0.339], [0.482, 0.963, 0.289], [0.689, 0.378, 0.165], [0.023, 0.046, 0.076]],
  "sg": "No. 36",
  "raw_formation_energy_mev_per_atom": -1248,
  "m_tot_mub_per_cell": 0.000,
  "vol_a3_per_atom": 24.954,
  "e_tot_ev_per_cell": -94.12
}

# 4
{
  "formula": "Hg2BiTe2",
  "functional": "PBE-GGA",
  "state": "optimized geometry",
  "cell": [[-4.181, 0.088, -7.344], [-4.809, -6.420, 2.661], [-2.732, 2.705, 1.588]],
  "species": ["Te", "Te", "Te", "Te", "Bi", "Bi", "Hg", "Hg", "Hg", "Hg"],
  "frac_coords": [[0.215, 0.715, 0.500], [0.715, 0.785, 0.500], [0.785, 0.285, 0.500], [0.285, 0.215, 0.500], [0.000, 0.000, 0.000], [0.500, 0.500, 0.000], [0.386, 0.886, 0.000], [0.886, 0.614, 0.000], [0.614, 0.114, 0.000], [0.114, 0.386, 0.000]],
  "sg": "No. 127",
  "raw_formation_energy_mev_per_atom": 171,
  "m_tot_mub_per_cell": 0.000,
  "relative_energy_mev_per_atom": 145,
  "vol_a3_per_atom": 29.710,
  "e_tot_ev_per_cell": -19.83,
  "dos_ef_per_ev_atom": 0.550
}